A plane-wave DFT calculation with PBE was carried out for crystalline TaNb2Bi at its relaxed geometry.

Computed properties:
Formation energy from the elements = 0.755 eV/atom
Uncorrected energy = -32.9 eV/f.u.

Cell lengths 4.121, 4.121, 20.331 Å; angles 90.00, 90.00, 90.00 degrees
Space group I-42d (No. 122)
Inequivalent atoms, fractional coordinates:
Ta (0.000, 0.000, 0.000)
Nb (0.249, 0.250, 0.125)
Bi (0.000, 0.000, 0.500)

=====

A plane-wave DFT calculation with PBE was carried out for crystalline TaNbBi2 at its relaxed geometry.

Computed properties:
Formation energy from the elements = 0.682 eV/atom
Uncorrected energy = -27.0 eV/f.u.
ΔE to the lowest computed polymorph = 234 meV per atom

Cell lengths 3.2480, 3.2480, 31.4100 Å; angles 90.00, 90.00, 120.00 degrees
Space group R-3m (No. 166, hexagonal axes)
Inequivalent atoms, fractional coordinates:
Ta (0.0000, 0.0000, 0.0000)
Nb (0.0000, 0.0000, 0.5000)
Bi (0.0000, 0.0000, 0.0930)